{"formula": "HgIr3W", "functional": "PBE-GGA", "state": "relaxed", "cell": [[-0.837, -2.265, 4.167], [0.232, -4.246, -2.262], [4.737, -0.192, 0.847]], "species": ["Ir", "Ir", "Ir", "Hg", "W"], "fractional_positions": [[0.000, 0.500, 0.000], [0.000, 0.000, 0.500], [0.500, 0.000, 0.000], [0.000, 0.000, 0.000], [0.500, 0.500, 0.500]], "de_polymorph_mev_per_atom": 1334, "final_energy_ev_per_cell": -25.3, "delta_e_f_ev_per_atom": 2.899}

***

{"formula": "YTiSi3", "functional": "PBE-GGA", "state": "relaxed", "cell": [[-2.459, 4.123, -1.692], [-4.445, -2.127, 1.278], [0.328, 2.095, 4.628]], "species": ["Y", "Si", "Si", "Si", "Ti"], "fractional_positions": [[0.000, 0.000, 0.000], [0.000, 0.500, 0.000], [0.000, 0.000, 0.500], [0.500, 0.000, 0.000], [0.500, 0.500, 0.500]], "final_energy_ev_per_cell": -24.0, "raw_formation_energy_mev_per_atom": 1327}

***

{"formula": "Hg2TeBr", "functional": "PBE-GGA", "state": "relaxed", "cell": [[-6.682, 0.645, 2.338], [2.679, -6.425, -1.424], [2.946, -0.683, 8.591]], "species": ["Hg", "Hg", "Hg", "Hg", "Hg", "Hg", "Te", "Te", "Te", "Br", "Br", "Br"], "fractional_positions": [[0.900, 0.424, 0.457], [0.575, 0.476, 0.790], [0.524, 0.100, 0.124], [0.424, 0.899, 0.543], [0.476, 0.575, 0.210], [0.100, 0.524, 0.876], [0.000, 0.761, 0.667], [0.761, 0.000, 0.333], [0.240, 0.240, 0.000], [0.000, 0.658, 0.166], [0.658, 0.000, 0.833], [0.343, 0.343, 0.500]], "de_polymorph_mev_per_atom": 100, "final_energy_ev_per_cell": -18.1, "raw_formation_energy_mev_per_atom": -156}

***

{"formula": "InCoMo2", "functional": "PBE-GGA", "state": "relaxed", "cell": [[-0.617, -2.345, 1.431], [-0.558, -1.329, -2.419], [7.551, -2.285, -0.487]], "species": ["Co", "In", "Mo", "Mo"], "fractional_positions": [[0.500, 0.500, 0.250], [0.500, 0.500, 0.750], [0.000, 0.000, 0.035], [0.000, 0.000, 0.465]], "final_energy_ev_per_cell": -30.5, "delta_e_f_ev_per_atom": 0.251}

***

{"formula": "Ho4CuO7", "functional": "PBE-GGA", "state": "relaxed", "cell": [[3.866, 0.000, 0.000], [1.933, 6.226, -0.128], [1.933, 0.209, 6.469]], "species": ["Ho", "Ho", "Ho", "Ho", "Cu", "O", "O", "O", "O", "O", "O", "O"], "fractional_positions": [[0.588, 0.224, 0.601], [0.412, 0.776, 0.399], [0.747, 0.662, 0.844], [0.253, 0.338, 0.156], [0.000, 0.000, 0.000], [0.795, 0.852, 0.557], [0.205, 0.148, 0.443], [0.091, 0.709, 0.108], [0.909, 0.291, 0.892], [0.366, 0.572, 0.696], [0.500, 0.000, 0.000], [0.634, 0.428, 0.304]], "final_energy_ev_per_cell": -93.6, "raw_formation_energy_mev_per_atom": -3041}

***

{"formula": "La4Te3S", "functional": "PBE-GGA", "state": "relaxed", "cell": [[-4.182, 1.125, -0.975], [-2.374, -7.188, 1.888], [-0.266, 4.516, 6.357]], "species": ["S", "Te", "Te", "Te", "La", "La", "La", "La"], "fractional_positions": [[0.500, 0.000, 0.000], [0.000, 0.000, 0.500], [0.500, 0.500, 0.500], [0.000, 0.500, 0.000], [0.000, 0.220, 0.220], [0.500, 0.768, 0.232], [0.000, 0.780, 0.780], [0.500, 0.232, 0.768]], "de_polymorph_mev_per_atom": 10, "final_energy_ev_per_cell": -47.0, "raw_formation_energy_mev_per_atom": -1714}

***

{"formula": "Sm5GaSb4", "functional": "PBE-GGA", "state": "relaxed", "cell": [[-3.116, -3.909, -3.775], [4.456, -5.185, -3.505], [-2.495, -6.383, 3.472]], "species": ["Sm", "Sm", "Sm", "Sm", "Sm", "Ga", "Sb", "Sb", "Sb", "Sb"], "fractional_positions": [[0.899, 0.402, 0.802], [0.301, 0.802, 0.598], [0.701, 0.198, 0.402], [0.103, 0.598, 0.198], [0.501, 0.000, 0.000], [0.002, 0.000, 0.000], [0.403, 0.398, 0.797], [0.801, 0.797, 0.602], [0.201, 0.203, 0.398], [0.599, 0.602, 0.203]], "final_energy_ev_per_cell": -52.9, "raw_formation_energy_mev_per_atom": -974}

***

{"formula": "AlSi2Ni", "functional": "PBE-GGA", "state": "relaxed", "cell": [[2.719, 0.000, 0.000], [-1.359, 2.355, 0.000], [0.000, 0.000, 8.731]], "species": ["Ni", "Si", "Si", "Al"], "fractional_positions": [[0.000, 0.000, 0.008], [0.667, 0.333, 0.218], [0.333, 0.667, 0.799], [0.667, 0.333, 0.520]], "final_energy_ev_per_cell": -20.5, "raw_formation_energy_mev_per_atom": -35}

***

{"formula": "NaYTi", "functional": "PBE-GGA", "state": "relaxed", "cell": [[0.525, -2.115, -5.132], [-2.021, -3.161, 4.125], [-5.607, 1.844, -1.334]], "species": ["Y", "Y", "Na", "Na", "Ti", "Ti"], "fractional_positions": [[0.333, 0.667, 0.750], [0.667, 0.333, 0.250], [0.000, 0.000, 0.000], [0.000, 0.000, 0.500], [0.333, 0.667, 0.250], [0.667, 0.333, 0.750]], "de_polymorph_mev_per_atom": 554, "final_energy_ev_per_cell": -27.4, "delta_e_f_ev_per_atom": 0.661}

***

{"formula": "TiSiIrOs", "functional": "PBE-GGA", "state": "relaxed", "cell": [[4.297, 0.000, 0.000], [2.148, 3.721, 0.000], [2.148, 1.240, 3.508]], "species": ["Si", "Ir", "Os", "Ti"], "fractional_positions": [[0.750, 0.750, 0.750], [0.500, 0.500, 0.500], [0.000, 0.000, 0.000], [0.250, 0.250, 0.250]], "final_energy_ev_per_cell": -35.6, "raw_formation_energy_mev_per_atom": -536}

***

{"formula": "NdNi3As3", "functional": "PBE-GGA", "state": "relaxed", "cell": [[6.427, 0.000, 0.000], [0.000, 6.427, 0.000], [0.000, 0.000, 6.427]], "species": ["Ni", "Ni", "Ni", "Ni", "Ni", "Ni", "As", "As", "As", "As", "As", "As", "Nd", "Nd"], "fractional_positions": [[0.250, 0.000, 0.500], [0.000, 0.500, 0.250], [0.500, 0.750, 0.000], [0.750, 0.000, 0.500], [0.000, 0.500, 0.750], [0.500, 0.250, 0.000], [0.000, 0.250, 0.500], [0.000, 0.750, 0.500], [0.500, 0.000, 0.750], [0.750, 0.500, 0.000], [0.500, 0.000, 0.250], [0.250, 0.500, 0.000], [0.500, 0.500, 0.500], [0.000, 0.000, 0.000]], "de_polymorph_mev_per_atom": 111, "final_energy_ev_per_cell": -78.1, "delta_e_f_ev_per_atom": -0.426}

***

{"formula": "KBa2Ag3O6", "functional": "PBE-GGA", "state": "relaxed", "cell": [[-0.445, -3.928, 1.063], [3.982, -0.200, 0.927], [-2.713, 3.676, 12.446]], "species": ["K", "Ba", "Ba", "Ag", "Ag", "Ag", "O", "O", "O", "O", "O", "O"], "fractional_positions": [[0.500, 0.500, 0.500], [0.500, 0.500, 0.205], [0.500, 0.500, 0.795], [0.000, 0.000, 0.367], [0.000, 0.000, 0.633], [0.000, 0.000, 0.000], [0.000, 0.500, 0.656], [0.500, 0.000, 0.344], [0.500, 0.000, 0.656], [0.000, 0.000, 0.151], [0.000, 0.500, 0.344], [0.000, 0.000, 0.849]], "final_energy_ev_per_cell": -55.9, "raw_formation_energy_mev_per_atom": -1053}

***

{"formula": "CoSbH2Rh", "functional": "PBE-GGA", "state": "relaxed", "cell": [[3.580, 0.000, 0.000], [0.000, 5.073, 0.000], [0.000, 0.000, 3.580]], "species": ["Sb", "Rh", "H", "H", "Co"], "fractional_positions": [[0.500, 0.500, 0.500], [0.000, 0.500, 0.000], [0.000, 0.000, 0.500], [0.500, 0.000, 0.000], [0.000, 0.000, 0.000]], "de_polymorph_mev_per_atom": 0, "final_energy_ev_per_cell": -23.0}

***

{"formula": "BaB2Br", "functional": "PBE-GGA", "state": "relaxed", "cell": [[-3.659, -2.424, 2.404], [-0.173, 0.056, 5.001], [-3.586, 2.580, 2.351]], "species": ["B", "B", "Ba", "Br"], "fractional_positions": [[0.250, 0.250, 0.250], [0.750, 0.750, 0.750], [0.500, 0.500, 0.500], [0.000, 0.000, 0.000]], "de_polymorph_mev_per_atom": 41, "final_energy_ev_per_cell": -11.5, "raw_formation_energy_mev_per_atom": 1372}

***

{"formula": "BaTlBrCl2", "functional": "PBE-GGA", "state": "relaxed", "cell": [[5.130, 0.000, 0.000], [0.000, 8.348, -1.292], [0.000, -4.733, 10.310]], "species": ["Ba", "Ba", "Tl", "Tl", "Br", "Br", "Cl", "Cl", "Cl", "Cl"], "fractional_positions": [[0.250, 0.314, 0.065], [0.750, 0.686, 0.935], [0.250, 0.247, 0.484], [0.750, 0.753, 0.516], [0.250, 0.968, 0.124], [0.750, 0.032, 0.876], [0.750, 0.476, 0.610], [0.250, 0.524, 0.390], [0.750, 0.577, 0.157], [0.250, 0.423, 0.843]], "final_energy_ev_per_cell": -37.5, "raw_formation_energy_mev_per_atom": -1819}

***

{"formula": "La2InS", "functional": "PBE-GGA", "state": "relaxed", "cell": [[4.140, 0.000, 0.000], [2.070, 3.585, 0.000], [2.070, 1.195, 8.154]], "species": ["S", "In", "La", "La"], "fractional_positions": [[0.000, 0.000, 0.000], [0.500, 0.500, 0.500], [0.736, 0.736, 0.792], [0.264, 0.264, 0.208]], "de_polymorph_mev_per_atom": 0, "final_energy_ev_per_cell": -21.7, "raw_formation_energy_mev_per_atom": -1235}

***

{"formula": "ZrCdIn2", "functional": "PBE-GGA", "state": "relaxed", "cell": [[3.334, 0.000, 0.000], [0.000, 4.367, 0.000], [0.000, 0.000, 6.364]], "species": ["Cd", "In", "In", "Zr"], "fractional_positions": [[0.500, 0.500, 0.750], [0.000, 0.000, 0.007], [0.000, 0.000, 0.493], [0.500, 0.500, 0.250]], "final_energy_ev_per_cell": -15.2, "delta_e_f_ev_per_atom": -0.070}

***

{"formula": "Pm8Ni3IrBr4", "functional": "PBE-GGA", "state": "relaxed", "cell": [[-7.426, 2.821, 1.778], [1.385, -1.860, 8.736], [5.438, 4.853, -3.624]], "species": ["Pm", "Pm", "Pm", "Pm", "Pm", "Pm", "Pm", "Pm", "Ni", "Ni", "Ni", "Ir", "Br", "Br", "Br", "Br"], "fractional_positions": [[0.233, 0.695, 0.962], [0.233, 0.695, 0.466], [0.270, 0.309, 0.540], [0.729, 0.695, 0.962], [0.271, 0.305, 0.038], [0.730, 0.691, 0.460], [0.767, 0.305, 0.534], [0.767, 0.305, 0.038], [0.500, 0.500, 0.000], [0.500, 0.500, 0.500], [0.000, 0.500, 0.500], [0.000, 0.500, 0.000], [0.500, 0.000, 0.000], [0.500, 0.000, 0.500], [0.000, 0.000, 0.000], [0.000, 0.000, 0.500]], "final_energy_ev_per_cell": -85.1, "raw_formation_energy_mev_per_atom": -890}

***

{"formula": "HRh2Pb", "functional": "PBE-GGA", "state": "relaxed", "cell": [[-1.249, -2.368, 1.713], [1.364, -0.874, 2.735], [-3.628, 3.154, 4.663]], "species": ["H", "Rh", "Rh", "Pb"], "fractional_positions": [[0.687, 0.687, 0.938], [0.049, 0.049, 0.854], [0.269, 0.269, 0.193], [0.495, 0.495, 0.515]], "de_polymorph_mev_per_atom": 164, "final_energy_ev_per_cell": -21.1}

***

{"formula": "Tb4SiSb2", "functional": "PBE-GGA", "state": "relaxed", "cell": [[8.085, -1.092, -0.164], [-1.673, 7.985, 0.163], [-3.079, -3.564, 6.668]], "species": ["Tb", "Tb", "Tb", "Tb", "Tb", "Tb", "Tb", "Tb", "Si", "Si", "Sb", "Sb", "Sb", "Sb"], "fractional_positions": [[0.940, 0.242, 0.302], [0.310, 0.508, 0.198], [0.940, 0.638, 0.698], [0.758, 0.060, 0.698], [0.362, 0.060, 0.302], [0.310, 0.112, 0.802], [0.492, 0.690, 0.802], [0.888, 0.690, 0.198], [0.249, 0.749, 0.500], [0.001, 0.001, 0.000], [0.625, 0.375, 0.750], [0.625, 0.875, 0.250], [0.625, 0.375, 0.250], [0.125, 0.375, 0.750]], "final_energy_ev_per_cell": -74.4, "raw_formation_energy_mev_per_atom": -714}